Record 1
An optimized crystal structure of Sr2TlGaIr. Source: Alexandria, functional PBE.

The space group is P4/mmm (No. 123) and the conventional cell measures 5.852, 5.852 and 4.824 Å, with angles of 90.00, 90.00 and 90.00 degrees. The inequivalent atoms are Sr at (0.000, 0.500, 0.000), Tl at (0.000, 0.000, 0.500), Ga at (0.500, 0.500, 0.500) and Ir at (0.500, 0.500, 0.000).

Its formation energy from the elements is -0.2696 eV/atom. The total energy is -3.7932 eV per atom.


Record 2
An optimized crystal structure of Sm2Al4SiPd3. Source: Alexandria, functional PBE.

The space group is P-4m2 (No. 115) and the conventional cell measures 4.217, 4.217 and 10.662 Å, with angles of 90.00, 90.00 and 90.00 degrees. The inequivalent atoms are Sm at (0.000, 0.500, 0.249), Al at (0.000, 0.000, 0.500), Al at (0.000, 0.500, 0.864), Al at (0.500, 0.500, 0.500), Si at (0.500, 0.500, 0.000), Pd at (0.000, 0.000, 0.000) and Pd at (0.000, 0.500, 0.633).

The total energy is -5.3110 eV per atom.


Record 3
An optimized crystal structure of MgTlW2. Source: Alexandria, functional PBE.

The space group is Cmm2 (No. 35) and the conventional cell measures 3.276, 4.892 and 9.664 Å, with angles of 90.00, 90.00 and 90.00 degrees. The inequivalent atoms are Mg at (0.000, 0.000, 0.000), Tl at (0.000, 0.500, 0.717), W at (0.000, 0.000, 0.449) and W at (0.000, 0.500, 0.242).

Its formation energy from the elements is 0.4726 eV/atom. The total energy is -6.9942 eV per atom. The value obtained for the relative energy among the computed polymorphs is 7.7 meV/atom.


Record 4
An optimized crystal structure of Pr6GaCl8. Source: Alexandria, functional PBE.

The space group is R-3 (No. 148, hexagonal axes) and the conventional cell measures 7.1665, 7.1665 and 30.7655 Å, with angles of 90.00, 90.00 and 120.00 degrees. The inequivalent atoms are Pr at (0.9999, 0.3242, 0.0547), Ga at (0.0000, 0.0000, 0.0000), Cl at (0.0000, 0.0000, 0.3333) and Cl at (0.9998, 0.3302, 0.8908).

The total energy is -4.7844 eV per atom.


Record 5
An optimized crystal structure of RbPb2C2. Source: Alexandria, functional PBE.

The space group is P4/mbm (No. 127) and the conventional cell measures 6.953, 6.953 and 5.358 Å, with angles of 90.00, 90.00 and 90.00 degrees. The inequivalent atoms are Rb at (0.000, 0.000, 0.000), Pb at (0.157, 0.343, 0.500) and C at (0.065, 0.565, 0.000).

Its formation energy from the elements is 0.7782 eV/atom. The total energy is -4.5883 eV per atom. The value obtained for the relative energy among the computed polymorphs is 0.0 meV/atom.